# SbTeOs, relaxed, DFT GGA-PBEsol
data_SbTeOs
_symmetry_space_group_name_H-M 'F m m 2'
_symmetry_Int_Tables_number 42
_symmetry_space_group_name_Hall 'F 2 -2'
_cell_length_a 3.1142
_cell_length_b 5.3793
_cell_length_c 15.5988
_cell_angle_alpha 90.00
_cell_angle_beta 90.00
_cell_angle_gamma 90.00
loop_
_atom_site_label
_atom_site_type_symbol
_atom_site_fract_x
_atom_site_fract_y
_atom_site_fract_z
_atom_site_occupancy
Sb1 Sb 0.0000 0.0000 0.0000 1
Te1 Te 0.0000 0.0000 0.7187 1
Os1 Os 0.0000 0.0000 0.3575 1
# E above lowest polymorph = 2.23 eV per formula unit
# Total magnetic moment = 0.00 μB per formula unit
# Formation energy without anion corrections = 0.63 eV per atom

# SbTeOs, relaxed, DFT GGA-PBEsol
data_SbTeOs
_symmetry_space_group_name_H-M 'P 1 21/c 1'
_symmetry_Int_Tables_number 14
_cell_length_a 6.6197
_cell_length_b 6.5250
_cell_length_c 6.6931
_cell_angle_alpha 90.00
_cell_angle_beta 114.00
_cell_angle_gamma 90.00
loop_
_symmetry_equiv_pos_as_xyz
'x,y,z'
'-x,-y,-z'
'-x,y+1/2,-z+1/2'
'x,-y+1/2,z+1/2'
loop_
_atom_site_label
_atom_site_type_symbol
_atom_site_fract_x
_atom_site_fract_y
_atom_site_fract_z
_atom_site_occupancy
Sb1 Sb 0.1398 0.1409 0.3860 1
Te1 Te 0.3464 0.6350 0.6843 1
Os1 Os 0.2768 0.0011 0.7966 1
# E above lowest polymorph = 0.00 eV per formula unit
# Total magnetic moment = 0.00 μB per formula unit
# Formation energy without anion corrections = -0.12 eV per atom

# ZnSbTe2Os, relaxed, DFT GGA-PBEsol
data_ZnSbTe2Os
_symmetry_space_group_name_H-M 'P 4/m m m'
_symmetry_Int_Tables_number 123
_symmetry_space_group_name_Hall '-P 4 2'
_cell_length_a 4.9969
_cell_length_b 4.9969
_cell_length_c 4.8605
_cell_angle_alpha 90.00
_cell_angle_beta 90.00
_cell_angle_gamma 90.00
loop_
_atom_site_label
_atom_site_type_symbol
_atom_site_fract_x
_atom_site_fract_y
_atom_site_fract_z
_atom_site_occupancy
Zn1 Zn 0.0000 0.0000 0.0000 1
Sb1 Sb 0.0000 0.0000 0.5000 1
Te1 Te 0.0000 0.5000 0.0000 1
Os1 Os 0.5000 0.5000 0.5000 1
# Total magnetic moment = 0.00 μB per formula unit
# Formation energy without anion corrections = 1.53 eV per atom

# ZrSbTe2Os, relaxed, DFT GGA-PBEsol
data_ZrSbTe2Os
_symmetry_space_group_name_H-M 'P 4/m m m'
_symmetry_Int_Tables_number 123
_symmetry_space_group_name_Hall '-P 4 2'
_cell_length_a 5.3787
_cell_length_b 5.3787
_cell_length_c 5.5009
_cell_angle_alpha 90.00
_cell_angle_beta 90.00
_cell_angle_gamma 90.00
loop_
_atom_site_label
_atom_site_type_symbol
_atom_site_fract_x
_atom_site_fract_y
_atom_site_fract_z
_atom_site_occupancy
Zr1 Zr 0.0000 0.0000 0.0000 1
Sb1 Sb 0.0000 0.0000 0.5000 1
Te1 Te 0.0000 0.5000 0.0000 1
Os1 Os 0.5000 0.5000 0.5000 1
# Total magnetic moment = 3.67 μB per formula unit
# Formation energy without anion corrections = 1.40 eV per atom

# TiSb2Os, relaxed, DFT GGA-PBEsol
data_TiSb2Os
_symmetry_space_group_name_H-M 'F m -3 m'
_symmetry_Int_Tables_number 225
_symmetry_space_group_name_Hall '-F 4 2 3'
_cell_length_a 6.5907
_cell_length_b 6.5907
_cell_length_c 6.5907
_cell_angle_alpha 90.00
_cell_angle_beta 90.00
_cell_angle_gamma 90.00
loop_
_atom_site_label
_atom_site_type_symbol
_atom_site_fract_x
_atom_site_fract_y
_atom_site_fract_z
_atom_site_occupancy
Ti1 Ti 0.0000 0.0000 0.0000 1
Sb1 Sb 0.2500 0.2500 0.2500 1
Os1 Os 0.0000 0.0000 0.5000 1
# Total magnetic moment = 1.72 μB per formula unit
# Formation energy without anion corrections = 0.12 eV per atom

# Tl2SbOs, relaxed, DFT GGA-PBEsol
data_Tl2SbOs
_symmetry_space_group_name_H-M 'P 1 m 1'
_symmetry_Int_Tables_number 6
_cell_length_a 3.2049
_cell_length_b 3.2123
_cell_length_c 8.8727
_cell_angle_alpha 90.00
_cell_angle_beta 90.38
_cell_angle_gamma 90.00
loop_
_symmetry_equiv_pos_as_xyz
'x,y,z'
'x,-y,z'
loop_
_atom_site_label
_atom_site_type_symbol
_atom_site_fract_x
_atom_site_fract_y
_atom_site_fract_z
_atom_site_occupancy
Tl1 Tl 0.0000 0.0000 0.0000 1
Tl2 Tl 0.4209 0.5000 0.7077 1
Sb1 Sb 0.0244 0.0000 0.3867 1
Os1 Os 0.5226 0.5000 0.2218 1
# E above lowest polymorph = 0.00 eV per formula unit
# Total magnetic moment = 0.00 μB per formula unit
# Formation energy without anion corrections = 0.32 eV per atom